DFT (PBE-GGA) results for an optimized crystal structure of Rb3PrY2O6.

Results
The calculation puts the formation energy without anion corrections at -2621 meV/atom. The calculation puts the density of states at the Fermi level at 0.000 states/eV/cell. Its symmetry is No. 12.

Cell and atoms, written as extended XYZ:
```
12
Lattice="6.2037 -0.0015 0.0007 -3.1016 5.3727 0.0007 -1.0340 -1.7903 6.5841" Properties=species:S:1:pos:R:3 pbc="T T T"
O -0.0717 3.5813 5.4140
O -1.0697 1.8532 1.1716
O 2.0321 3.5185 1.1719
O 3.1378 1.7277 5.4140
O 2.1398 -0.0004 1.1716
O 0.0360 0.0624 5.4137
Rb 4.1263 0.0045 3.2928
Rb 1.0341 1.7905 3.2928
Rb -2.0582 3.5764 3.2928
Y 3.1022 1.7897 0.0007
Y -0.0002 3.5815 0.0007
Pr 0.0000 0.0000 0.0000
```


DFT (PBE-GGA) results for an optimized crystal structure of Rb3Pr2YO6.

Results
The calculation puts the formation energy without anion corrections at -2570 meV/atom. The calculation puts the density of states at the Fermi level at 0.000 states/eV/cell. Its symmetry is No. 12.

Cell and atoms, written as extended XYZ:
```
12
Lattice="-1.5124 0.1497 6.1245 5.7511 -1.8853 -1.7858 0.7496 6.8069 -1.0628" Properties=species:S:1:pos:R:3 pbc="T T T"
Pr 3.3300 -1.2070 0.8509
Pr 0.9087 -0.5286 3.4878
O 1.7258 5.1277 0.2656
O 2.7478 4.5574 3.7818
O 5.0862 3.9023 1.2353
O 2.2405 0.5138 -0.5060
O -0.0978 1.1689 2.0406
O 3.2625 -0.0564 3.0103
Rb 4.9273 1.8540 -1.0118
Rb 0.0611 3.2173 4.2877
Rb 2.4942 2.5356 1.6379
Y 0.0000 0.0000 0.0000
```


DFT (PBE-GGA) results for an optimized crystal structure of Rb2PrYO4.

Results
The calculation puts the formation energy without anion corrections at -2591 meV/atom. The calculation puts the density of states at the Fermi level at 0.000 states/eV/cell. Its symmetry is No. 10.

Cell and atoms, written as extended XYZ:
```
8
Lattice="-1.8714 -2.9837 -0.8108 1.7148 -2.5554 5.4461 -5.9135 3.4149 1.0827" Properties=species:S:1:pos:R:3 pbc="T T T"
O -1.6173 -1.4374 0.9674
O -4.4530 -0.6868 4.7507
O -4.3992 2.1292 2.3187
O 0.2004 -1.2697 4.2101
Rb -2.0994 0.4298 3.2644
Rb -3.8925 0.2156 0.1360
Y 0.0000 0.0000 0.0000
Pr -0.0783 -2.7696 2.3177
```


DFT (PBE-GGA) results for an optimized crystal structure of Rb4Pr3ZnO8.

Results
The calculation puts the formation energy without anion corrections at -2066 meV/atom. The calculation puts the density of states at the Fermi level at 10.353 states/eV/cell. Its symmetry is No. 12.

Cell and atoms, written as extended XYZ:
```
16
Lattice="-0.9539 -1.2519 -6.9186 4.6159 -6.1325 0.4732 -5.8669 0.0118 4.4451" Properties=species:S:1:pos:R:3 pbc="T T T"
O -0.0557 -4.7258 0.8628
O -3.2201 -4.9948 -0.6863
O 1.0151 -2.3778 -1.3140
O -0.1023 -5.0814 -2.7047
O 0.4818 -3.0776 -5.1819
O -2.1493 -2.6467 -2.8631
O -2.1027 -2.2912 0.7045
O -2.6868 -4.2949 3.1816
Zn 2.3079 -3.0662 0.2366
Pr 1.8310 -3.6922 -3.2227
Pr -0.6255 -3.0603 2.4592
Pr -1.1025 -3.6863 -1.0001
Rb -3.4104 -0.6200 -1.2367
Rb 0.0000 0.0000 0.0000
Rb -0.4769 -0.6259 -3.4593
Rb -2.9335 0.0059 2.2225
```